The following is a PBE calculation of Ca2ErAu4 after structural relaxation, from Alexandria.

SG: No. 139
calculated formation energy: -450 kJ/mol of formula units
density: 9.8 g/cm3

Lattice parameters (Å, degrees): 5.1472 5.1472 13.2508 90.00 90.00 90.00
Last column: nearest neighbours and their distance in Å.
Positions (direct):
1 Ca 0.0000 0.0000 0.2277  8 Au 2.99-3.33
2 Ca 0.0000 0.0000 0.7723  8 Au 2.99-3.33
3 Ca 0.5000 0.5000 0.2723  8 Au 2.99-3.33
4 Ca 0.5000 0.5000 0.7277  8 Au 2.99-3.33
5 Er 0.0000 0.0000 0.5000  8 Au 2.98
6 Er 0.5000 0.5000 0.0000  8 Au 2.98
7 Au 0.0000 0.5000 0.1128  2 Er 2.98, 1 Au 2.99, 4 Ca 2.99-3.33
8 Au 0.0000 0.5000 0.3872  2 Er 2.98, 1 Au 2.99, 4 Ca 2.99-3.33
9 Au 0.0000 0.5000 0.6128  2 Er 2.98, 1 Au 2.99, 4 Ca 2.99-3.33
10 Au 0.0000 0.5000 0.8872  2 Er 2.98, 1 Au 2.99, 4 Ca 2.99-3.33
11 Au 0.5000 0.0000 0.1128  2 Er 2.98, 1 Au 2.99, 4 Ca 2.99-3.33
12 Au 0.5000 0.0000 0.3872  2 Er 2.98, 1 Au 2.99, 4 Ca 2.99-3.33
13 Au 0.5000 0.0000 0.6128  2 Er 2.98, 1 Au 2.99, 4 Ca 2.99-3.33
14 Au 0.5000 0.0000 0.8872  2 Er 2.98, 1 Au 2.99, 4 Ca 2.99-3.33

---

The following is a PBE calculation of CaErAu after structural relaxation, from Alexandria.

SG: No. 107
ΔE to the lowest computed polymorph: 0.000 eV/atom
calculated formation energy: -159 kJ/mol of formula units
density: 7.9 g/cm3

Lattice parameters (Å, degrees): 3.6365 3.6365 12.7781 90.00 90.00 90.00
Last column: nearest neighbours and their distance in Å.
Positions (direct):
1 Ca 0.0000 0.0000 0.0000  4 Au 3.26, 1 Er 3.47, 4 Ca 3.64
2 Ca 0.5000 0.5000 0.5000  4 Au 3.26, 1 Er 3.47, 4 Ca 3.64
3 Er 0.0000 0.0000 0.2713  4 Au 2.96
4 Er 0.5000 0.5000 0.7713  4 Au 2.96
5 Au 0.0000 0.0000 0.6563  4 Er 2.96, 4 Ca 3.26
6 Au 0.5000 0.5000 0.1563  4 Er 2.96, 4 Ca 3.26

---

The following is a PBE calculation of CaErAu2 after structural relaxation, from Alexandria.

SG: No. 123
calculated formation energy: -327 kJ/mol of formula units
density: 10.6 g/cm3

Lattice parameters (Å, degrees): 3.6015 3.6015 7.2654 90.00 90.00 90.00
Last column: nearest neighbours and their distance in Å.
Positions (direct):
1 Ca 0.0000 0.0000 0.0000  8 Au 3.23, 4 Ca 3.60
2 Er 0.0000 0.0000 0.5000  8 Au 3.03
3 Au 0.5000 0.5000 0.2744  4 Er 3.03, 4 Ca 3.23, 1 Au 3.28
4 Au 0.5000 0.5000 0.7256  4 Er 3.03, 4 Ca 3.23, 1 Au 3.28

---

The following is a PBE calculation of Ca2ErAu after structural relaxation, from Alexandria.

SG: No. 166
calculated formation energy: -26 kJ/mol of formula units
density: 5.6 g/cm3

Lattice parameters (Å, degrees): 3.7151 3.7151 33.2152 90.00 90.00 120.00
Last column: nearest neighbours and their distance in Å.
Positions (direct):
1 Ca 0.0000 0.0000 0.1047  3 Au 2.97
2 Ca 0.0000 0.0000 0.8953  3 Au 2.97
3 Ca 0.3333 0.6667 0.5620  3 Au 2.97
4 Ca 0.3333 0.6667 0.7713  3 Au 2.97
5 Ca 0.6667 0.3333 0.2287  3 Au 2.97
6 Ca 0.6667 0.3333 0.4380  3 Au 2.97
7 Er 0.0000 0.0000 0.0000  2 Ca 3.48, 6 Er 3.72
8 Er 0.3333 0.6667 0.6667  2 Ca 3.48, 6 Er 3.72
9 Er 0.6667 0.3333 0.3333  2 Ca 3.48, 6 Er 3.72
10 Au 0.0000 0.0000 0.5000  6 Ca 2.97
11 Au 0.3333 0.6667 0.1667  6 Ca 2.97
12 Au 0.6667 0.3333 0.8333  6 Ca 2.97

---

The following is a PBE calculation of CaErAu after structural relaxation, from Alexandria.

SG: No. 216
ΔE to the lowest computed polymorph: 0.103 eV/atom
calculated formation energy: -129 kJ/mol of formula units
density: 7.6 g/cm3

Lattice parameters (Å, degrees): 7.0560 7.0560 7.0560 90.00 90.00 90.00
Last column: nearest neighbours and their distance in Å.
Positions (direct):
1 Ca 0.0000 0.0000 0.0000  4 Au 3.06
2 Ca 0.0000 0.5000 0.5000  4 Au 3.06
3 Ca 0.5000 0.0000 0.5000  4 Au 3.06
4 Ca 0.5000 0.5000 0.0000  4 Au 3.06
5 Er 0.0000 0.0000 0.5000  4 Au 3.06
6 Er 0.0000 0.5000 0.0000  4 Au 3.06
7 Er 0.5000 0.0000 0.0000  4 Au 3.06
8 Er 0.5000 0.5000 0.5000  4 Au 3.06
9 Au 0.2500 0.2500 0.7500  4 Er 3.06, 4 Ca 3.06
10 Au 0.2500 0.7500 0.2500  4 Er 3.06, 4 Ca 3.06
11 Au 0.7500 0.2500 0.2500  4 Er 3.06, 4 Ca 3.06
12 Au 0.7500 0.7500 0.7500  4 Er 3.06, 4 Ca 3.06

---

The following is a PBE calculation of CaErAu after structural relaxation, from Alexandria.

SG: No. 156
ΔE to the lowest computed polymorph: 0.177 eV/atom
calculated formation energy: -108 kJ/mol of formula units
density: 7.7 g/cm3

Lattice parameters (Å, degrees): 4.8738 4.8738 4.2470 90.00 90.00 120.00
Last column: nearest neighbours and their distance in Å.
Positions (direct):
1 Ca 0.0000 0.0000 0.0000  3 Au 3.32, 6 Er 3.51-3.54
2 Er 0.6667 0.3333 0.5055  3 Au 2.84
3 Au 0.3333 0.6667 0.4145  3 Er 2.84

---

no.,VASP energy (eV/cell),calculated volume (Å³ per atom)
1,-52.67,25.08
2,-22.99,28.16
3,-16.51,23.56
4,-36.35,33.08
5,-44.73,29.27
6,-10.96,29.12